(1)
DFT (GGA-PBEsol) results for an optimized crystal structure of K4Al4Si19.

Values from the calculation:
The spin magnetization is 0.00 μB per atom. Its crystal system is triclinic. The uncorrected formation energy is -7.4 kJ per mole of atoms. Its space group is P1 (1).

Structure (POSCAR):
```
K4Al4Si19
1.0
-5.3715 -0.2879 -8.9668
5.2736 -8.5409 -2.9350
-7.2568 -6.0549 4.5239
Si Al K
38 8 8
Direct
0.3198 0.6855 0.6858 Si
0.0094 0.5090 0.7508 Si
0.7439 0.9980 0.4921 Si
0.6817 0.3087 0.6835 Si
0.1188 0.9974 0.6919 Si
0.6842 0.6826 0.3153 Si
0.0002 0.3033 0.1200 Si
0.8179 0.1852 0.1867 Si
0.6946 0.8873 0.0021 Si
0.3017 0.8804 0.0012 Si
0.3861 0.1965 0.4965 Si
0.6802 0.6881 0.6895 Si
0.8767 0.9967 0.3024 Si
0.6192 0.1937 0.4969 Si
0.8085 0.1861 0.8180 Si
0.9997 0.6967 0.1120 Si
0.3879 0.8019 0.5007 Si
0.0006 0.6988 0.8792 Si
0.1958 0.5040 0.3896 Si
0.8050 0.5008 0.3829 Si
0.4997 0.6116 0.8047 Si
0.1879 0.1798 0.8049 Si
0.5048 0.2521 0.9951 Si
0.3168 0.6852 0.3183 Si
0.1104 0.9957 0.3055 Si
0.3164 0.3130 0.6800 Si
0.6952 0.1221 0.0022 Si
0.4997 0.6207 0.1989 Si
0.6906 0.3163 0.3184 Si
0.1994 0.5033 0.6217 Si
0.1865 0.8181 0.8161 Si
0.6196 0.8036 0.5005 Si
0.4994 0.3768 0.8016 Si
0.1813 0.8145 0.1830 Si
0.8105 0.8133 0.8212 Si
0.3067 0.3170 0.3211 Si
0.1773 0.1825 0.1949 Si
0.8147 0.8138 0.1814 Si
0.0019 0.3074 0.8790 Al
0.8780 0.9994 0.6913 Al
0.8088 0.5004 0.6215 Al
0.0002 0.5005 0.2504 Al
0.4983 0.3807 0.1948 Al
0.4987 0.7491 0.0013 Al
0.2529 0.9985 0.4983 Al
0.3054 0.1211 0.0016 Al
0.7508 0.4970 0.9996 K
0.0012 0.0047 0.9959 K
0.0045 0.2510 0.4973 K
0.5029 0.4981 0.4993 K
0.4977 0.9983 0.2474 K
0.4998 0.0056 0.7524 K
0.2500 0.4992 0.0014 K
0.9998 0.7488 0.5018 K
```

***

(2)
DFT (GGA-PBEsol) results for an optimized crystal structure of LuSiPt2.

Values from the calculation:
The spin magnetization is 0.00 μB per atom. Its crystal system is orthorhombic. The uncorrected formation energy is -118.5 kJ per mole of atoms. Its density of states at the Fermi level is 0.360 states/eV per atom. Its space group is Pnma (62).

Structure (POSCAR):
```
LuSiPt2
1.0
-4.7761 -0.7060 -2.3558
2.0128 -6.2215 -2.2162
-2.5082 -2.9363 5.9650
Pt Lu Si
8 4 4
Direct
0.0911 0.4498 0.1841 Pt
0.4089 0.4498 0.6841 Pt
0.9089 0.9498 0.8159 Pt
0.5911 0.5502 0.3159 Pt
0.5911 0.9498 0.3159 Pt
0.0911 0.0502 0.1841 Pt
0.9089 0.5502 0.8159 Pt
0.4089 0.0502 0.6841 Pt
0.3660 0.7500 0.9747 Lu
0.1340 0.7500 0.4747 Lu
0.8660 0.2500 0.5253 Lu
0.6340 0.2500 0.0253 Lu
0.8665 0.7500 0.1173 Si
0.1335 0.2500 0.8827 Si
0.3665 0.2500 0.3827 Si
0.6335 0.7500 0.6173 Si
```

***

(3)
DFT (GGA-PBEsol) results for an optimized crystal structure of Mn2AgRh.

Values from the calculation:
The spin magnetization is 1.94 μB per atom. Its crystal system is monoclinic. Its density of states at the Fermi level is 1.050 states/eV per atom. Its space group is C2/m (12). The calculation puts the formation energy at 359 meV/atom.

Structure (POSCAR):
```
Mn2AgRh
1.0
-2.3773 -0.3850 -1.4749
0.9679 -3.8782 2.1559
-2.4944 2.3459 3.4082
Mn Ag Rh
2 1 1
Direct
0.2554 0.5107 0.2634 Mn
0.7446 0.4893 0.7366 Mn
0.5000 0.0000 0.0000 Ag
0.0000 0.0000 0.5000 Rh
```

***

(4)
DFT (GGA-PBEsol) results for an optimized crystal structure of Cd2PH.

Values from the calculation:
The spin magnetization is 0.00 μB per atom. Its crystal system is tetragonal. Its density of states at the Fermi level is 0.049 states/eV per atom. Its space group is I-42d (122).

Structure (POSCAR):
```
Cd2PH
1.0
4.9229 0.0000 0.0000
0.0000 4.9229 0.0000
-2.4614 -2.4614 6.0385
Cd P H
4 2 2
Direct
0.4416 0.8750 0.2500 Cd
0.8084 0.3750 0.2500 Cd
0.1250 0.1916 0.7500 Cd
0.6250 0.5584 0.7500 Cd
0.0000 0.0000 0.0000 P
0.2500 0.7500 0.5000 P
0.5000 0.5000 0.0000 H
0.7500 0.2500 0.5000 H
```

***

(5)
DFT (GGA-PBEsol) results for an optimized crystal structure of SbTeW.

Values from the calculation:
The spin magnetization is 0.49 μB per atom. Its crystal system is cubic. The uncorrected formation energy is 57.0 kJ per mole of atoms. Its density of states at the Fermi level is 0.843 states/eV per atom. Its space group is F-43m (216). Its offset from the most stable computed form is 315 meV/atom.

Structure (POSCAR):
```
SbTeW
1.0
-3.5767 2.9474 -0.5448
-4.3254 -1.3480 1.1184
-2.1165 1.8174 3.7410
W Te Sb
1 1 1
Direct
0.2500 0.2500 0.2500 W
0.5000 0.5000 0.5000 Te
0.0000 0.0000 0.0000 Sb
```

***

(6)
DFT (GGA-PBEsol) results for an optimized crystal structure of Na2Mg2Tl.

Values from the calculation:
The spin magnetization is 0.00 μB per atom. Its crystal system is tetragonal. Its density of states at the Fermi level is 0.523 states/eV per atom. Its space group is I4/mmm (139). The calculation puts the formation energy at 187 meV/atom.

Structure (POSCAR):
```
Na2Mg2Tl
1.0
4.1137 0.0000 0.0000
0.0000 4.1137 0.0000
-2.0569 -2.0569 8.3216
Na Mg Tl
2 2 1
Direct
0.2500 0.7500 0.5000 Na
0.7500 0.2500 0.5000 Na
0.4104 0.4104 0.8208 Mg
0.5896 0.5896 0.1792 Mg
0.0000 0.0000 0.0000 Tl
```

***

(7)
DFT (GGA-PBEsol) results for an optimized crystal structure of CoOs4Se.

Values from the calculation:
The spin magnetization is 0.48 μB per atom. Its crystal system is cubic. The uncorrected formation energy is 118.9 kJ per mole of atoms. Its density of states at the Fermi level is 1.628 states/eV per atom. Its space group is F-43m (216).

Structure (POSCAR):
```
CoOs4Se
1.0
5.1056 0.0000 0.0000
2.5528 4.4216 0.0000
2.5528 1.4739 4.1687
Os Se Co
4 1 1
Direct
0.3747 0.3747 0.3747 Os
0.3747 0.3747 0.8759 Os
0.8759 0.3747 0.3747 Os
0.3747 0.8759 0.3747 Os
0.7500 0.7500 0.7500 Se
0.0000 0.0000 0.0000 Co
```

***

(8)
DFT (GGA-PBEsol) results for an optimized crystal structure of ZrZn4Ir.

Values from the calculation:
The spin magnetization is 0.00 μB per atom. Its crystal system is cubic. Its density of states at the Fermi level is 0.857 states/eV per atom. Its space group is F-43m (216). The calculation puts the formation energy at -305 meV/atom.

Structure (POSCAR):
```
ZrZn4Ir
1.0
4.9421 0.0000 0.0000
2.4711 4.2800 0.0000
2.4711 1.4267 4.0352
Ir Zn Zr
1 4 1
Direct
0.0000 0.0000 0.0000 Ir
0.3748 0.8756 0.3748 Zn
0.8756 0.3748 0.3748 Zn
0.3748 0.3748 0.3748 Zn
0.3748 0.3748 0.8756 Zn
0.7500 0.7500 0.7500 Zr
```

***

(9)
DFT (GGA-PBEsol) results for an optimized crystal structure of RbSr2SeN.

Values from the calculation:
The spin magnetization is 0.00 μB per atom. Its crystal system is tetragonal. The uncorrected formation energy is 57.4 kJ per mole of atoms. Its density of states at the Fermi level is 0.304 states/eV per atom. Its space group is P4/mmm (123).

Structure (POSCAR):
```
RbSr2SeN
1.0
-2.2778 -3.4563 -0.8550
1.1307 -2.0552 5.2955
-4.7459 2.6251 2.0322
Sr Se Rb N
2 1 1 1
Direct
0.0000 0.5000 0.0000 Sr
0.0000 0.0000 0.5000 Sr
0.5000 0.5000 0.5000 Se
0.0000 0.0000 0.0000 Rb
0.5000 0.0000 0.0000 N
```

***

(10)
DFT (GGA-PBEsol) results for an optimized crystal structure of Li15Fe2O12.

Values from the calculation:
The spin magnetization is 0.17 μB per atom. Its crystal system is triclinic. The uncorrected formation energy is -169.3 kJ per mole of atoms. Its density of states at the Fermi level is 0.272 states/eV per atom. Its space group is P1 (1).

Structure (POSCAR):
```
Li15Fe2O12
1.0
5.2298 0.0255 -0.0304
0.0720 5.8092 0.0130
0.0734 0.5686 7.8839
Fe O Li
2 12 15
Direct
0.5006 0.4905 0.5146 Fe
0.0037 0.0223 0.9825 Fe
0.2830 0.8580 0.9105 O
0.7155 0.1839 0.0576 O
0.8488 0.0088 0.7643 O
0.8508 0.7219 0.0683 O
0.2037 0.6620 0.5799 O
0.6699 0.7768 0.4443 O
0.1430 0.0053 0.2092 O
0.3432 0.4950 0.2943 O
0.1640 0.2969 0.9152 O
0.6435 0.5035 0.7372 O
0.3443 0.2127 0.5747 O
0.7966 0.3402 0.4388 O
0.6250 0.8081 0.8989 Li
0.8545 0.4513 0.9430 Li
0.3657 0.2280 0.1149 Li
0.7748 0.9418 0.2366 Li
0.6888 0.4626 0.2146 Li
0.9895 0.6131 0.3939 Li
0.2050 0.9504 0.6867 Li
0.2095 0.6915 0.1170 Li
0.6642 0.0688 0.5440 Li
0.5191 0.2010 0.8248 Li
0.3381 0.8424 0.3769 Li
0.1302 0.2372 0.3708 Li
0.9869 0.3152 0.6696 Li
0.2997 0.5683 0.8054 Li
0.8561 0.7306 0.6481 Li
```

***

(11)
DFT (GGA-PBEsol) results for an optimized crystal structure of VBiO4.

Values from the calculation:
The spin magnetization is 0.00 μB per atom. Its crystal system is monoclinic. The uncorrected formation energy is -184.1 kJ per mole of atoms. Its density of states at the Fermi level is 0.000 states/eV per atom. Its space group is C2/c (15).

Structure (POSCAR):
```
VBiO4
1.0
-3.9493 4.4949 -0.3544
-5.6035 -1.5957 -1.9282
1.2647 -0.1393 6.2065
O V Bi
8 2 2
Direct
0.5123 0.7366 0.3886 O
0.9877 0.6519 0.3886 O
0.1451 0.7508 0.9589 O
0.6451 0.7919 0.0411 O
0.0123 0.3481 0.6115 O
0.3549 0.2081 0.9589 O
0.4877 0.2634 0.6115 O
0.8549 0.2492 0.0411 O
0.7500 0.6027 0.2054 V
0.2500 0.3973 0.7946 V
0.2500 0.1088 0.2177 Bi
0.7500 0.8912 0.7823 Bi
```

***

(12)
DFT (GGA-PBEsol) results for an optimized crystal structure of Mn23FeO32.

Values from the calculation:
The spin magnetization is 1.71 μB per atom. Its crystal system is triclinic. The uncorrected formation energy is -140.2 kJ per mole of atoms. Its density of states at the Fermi level is 0.400 states/eV per atom. Its space group is P-1 (2).

Structure (POSCAR):
```
Mn23FeO32
1.0
-0.6914 -5.8652 -1.3727
4.6204 1.9697 -8.8702
7.2880 -1.8403 6.8359
Mn O Fe
23 32 1
Direct
0.7517 0.2521 0.0021 Mn
0.0000 0.5000 0.0000 Mn
0.5037 0.2475 0.2436 Mn
0.7419 0.7517 0.9985 Mn
0.0026 0.9369 0.8157 Mn
0.4963 0.7525 0.7564 Mn
0.5037 0.0658 0.6919 Mn
0.9961 0.7490 0.2498 Mn
0.2546 0.2465 0.4952 Mn
0.9974 0.0631 0.1843 Mn
0.2473 0.7494 0.5038 Mn
0.0091 0.4321 0.3085 Mn
0.5022 0.5655 0.1888 Mn
0.7527 0.2506 0.4962 Mn
0.9909 0.5679 0.6915 Mn
0.4978 0.4345 0.8112 Mn
0.2483 0.7479 0.9979 Mn
0.4963 0.9342 0.3081 Mn
0.0039 0.2510 0.7502 Mn
0.0000 0.0000 0.5000 Mn
0.7454 0.7535 0.5048 Mn
0.5000 0.5000 0.5000 Mn
0.2581 0.2483 0.0015 Mn
0.9872 0.8744 0.6109 O
0.0216 0.3601 0.1016 O
0.2741 0.8540 0.8697 O
0.7096 0.6415 0.6316 O
0.7656 0.8728 0.3881 O
0.9784 0.6399 0.8984 O
0.7320 0.8686 0.8792 O
0.7695 0.1393 0.6234 O
0.4817 0.8622 0.6288 O
0.5104 0.6364 0.8747 O
0.0099 0.6370 0.3775 O
0.4887 0.1481 0.8961 O
0.0128 0.1256 0.3891 O
0.0146 0.1401 0.8770 O
0.5103 0.6277 0.3936 O
0.2303 0.6254 0.1109 O
0.7259 0.1460 0.1303 O
0.2303 0.3664 0.8788 O
0.9854 0.8599 0.1230 O
0.5183 0.1378 0.3712 O
0.2344 0.1272 0.6119 O
0.9901 0.3630 0.6225 O
0.2305 0.8608 0.3766 O
0.2904 0.3585 0.3684 O
0.4897 0.3723 0.6064 O
0.2680 0.1314 0.1208 O
0.7367 0.3648 0.3749 O
0.4896 0.3636 0.1253 O
0.7697 0.3746 0.8891 O
0.2633 0.6352 0.6251 O
0.7697 0.6336 0.1212 O
0.5113 0.8519 0.1039 O
0.5000 0.0000 0.0000 Fe
```

***

(13)
DFT (GGA-PBEsol) results for an optimized crystal structure of LaIrRh2.

Values from the calculation:
The spin magnetization is 0.00 μB per atom. Its crystal system is orthorhombic. Its density of states at the Fermi level is 1.282 states/eV per atom. Its space group is Pmmm (47). The calculation puts the formation energy at -69 meV/atom.

Structure (POSCAR):
```
LaIrRh2
1.0
2.8447 0.0000 0.0000
0.0000 3.8680 0.0000
0.0000 0.0000 6.2156
Ir La Rh
1 1 2
Direct
0.5000 0.5000 0.0000 Ir
0.5000 0.5000 0.5000 La
0.0000 0.0000 0.7947 Rh
0.0000 0.0000 0.2053 Rh
```

***

(14)
DFT (GGA-PBEsol) results for an optimized crystal structure of Pr2S3.

Values from the calculation:
The spin magnetization is 0.00 μB per atom. Its crystal system is orthorhombic. The uncorrected formation energy is -203.6 kJ per mole of atoms. Its space group is Pnma (62).

Structure (POSCAR):
```
Pr2S3
1.0
4.0474 0.0000 0.0000
0.0000 7.4363 0.0000
0.0000 0.0000 15.5397
S Pr
12 8
Direct
0.2500 0.3732 0.5673 S
0.2500 0.5068 0.1103 S
0.2500 0.0068 0.3897 S
0.2500 0.1441 0.7807 S
0.7500 0.1268 0.0673 S
0.2500 0.6441 0.7193 S
0.7500 0.3559 0.2807 S
0.7500 0.8559 0.2193 S
0.7500 0.9932 0.6103 S
0.7500 0.4932 0.8897 S
0.7500 0.6268 0.4327 S
0.2500 0.8732 0.9327 S
0.2500 0.1439 0.2043 Pr
0.2500 0.7645 0.5441 Pr
0.7500 0.7355 0.0441 Pr
0.2500 0.6439 0.2957 Pr
0.7500 0.8561 0.7957 Pr
0.2500 0.2645 0.9559 Pr
0.7500 0.2355 0.4559 Pr
0.7500 0.3561 0.7043 Pr
```

***

(15)
DFT (GGA-PBEsol) results for an optimized crystal structure of BaScTlPd2.

Values from the calculation:
The spin magnetization is 0.00 μB per atom. Its crystal system is tetragonal. Its density of states at the Fermi level is 1.037 states/eV per atom. Its space group is P4/mmm (123). The calculation puts the formation energy at 1097 meV/atom.

Structure (POSCAR):
```
BaScTlPd2
1.0
-4.4996 -1.1081 2.3220
2.5334 -2.7249 3.6088
0.4786 4.5472 3.0974
Ba Tl Pd Sc
1 1 2 1
Direct
0.0000 0.0000 0.0000 Ba
0.5000 0.5000 0.5000 Tl
0.5000 0.0000 0.0000 Pd
0.0000 0.5000 0.0000 Pd
0.0000 0.0000 0.5000 Sc
```

***

Number 1: electronic total energy -264.292 eV for the cell shown, V 1146 Å³/cell. Number 2: electronic total energy -117.827 eV for the cell shown, V 264 Å³/cell. Number 3: electronic total energy -29.535 eV for the cell shown, V 58 Å³/cell. Number 4: electronic total energy -21.193 eV for the cell shown, V 146 Å³/cell. Number 5: electronic total energy -20.120 eV for the cell shown, V 72 Å³/cell. Number 6: electronic total energy -7.929 eV for the cell shown, V 141 Å³/cell. Number 7: electronic total energy -53.060 eV for the cell shown, V 94 Å³/cell. Number 8: electronic total energy -27.073 eV for the cell shown, V 85 Å³/cell. Number 9: electronic total energy -14.109 eV for the cell shown, V 142 Å³/cell. Number 10: electronic total energy -161.296 eV for the cell shown, V 239 Å³/cell. Number 11: electronic total energy -92.726 eV for the cell shown, V 185 Å³/cell. Number 12: electronic total energy -482.830 eV for the cell shown, V 598 Å³/cell. Number 13: electronic total energy -31.722 eV for the cell shown, V 68 Å³/cell. Number 14: electronic total energy -136.286 eV for the cell shown, V 468 Å³/cell. Number 15: electronic total energy -17.816 eV for the cell shown, V 148 Å³/cell.